A geometry-optimized BaPt3C structure. Source: Alexandria, functional PBE-GGA.

Structure (POSCAR):
```
BaPt3C
1.0
4.478 0.000 0.000
0.000 4.478 0.000
0.000 0.000 4.478
Ba Pt C
1 3 1
Cartesian
0.000 0.000 0.000
0.000 2.239 2.239
2.239 0.000 2.239
2.239 2.239 0.000
2.239 2.239 2.239
```

Formation enthalpy at 0 K: 186 meV/atom
Energy relative to the lowest polymorph listed for this composition: 0.00 eV/f.u.